(1)
First-principles (GGA-PBE) data for a relaxed structure of NbTe2PtN, as listed in Alexandria.

Cell lengths 5.462, 5.462, 3.850 Å; angles 90.00, 90.00, 90.00 degrees
Positions (direct):
Nb  0.000  0.000  0.000
Te  0.000  0.500  0.000
Te  0.500  0.000  0.000
Pt  0.500  0.500  0.500
N  0.000  0.000  0.500

Total magnetization ... 0.00 μB per cell
Polymorph energy (0 for the lowest one) ... 0.0 meV/atom
Formation energy (no corrections) ... 0.4691 eV per atom
E_tot ... -5.675 eV per atom

---

(2)
First-principles (GGA-PBE) data for a relaxed structure of NbTe2PtN, as listed in Alexandria.

Cell lengths 5.516, 5.516, 3.684 Å; angles 90.00, 90.00, 90.00 degrees
Positions (direct):
Nb  0.500  0.500  0.500
Te  0.000  0.500  0.000
Te  0.500  0.000  0.000
Pt  0.000  0.000  0.000
N  0.000  0.000  0.500

Total magnetization ... 2.49 μB per cell
Polymorph energy (0 for the lowest one) ... 213.7 meV/atom
Formation energy (no corrections) ... 0.6828 eV per atom
E_tot ... -5.461 eV per atom

---

(3)
First-principles (GGA-PBE) data for a relaxed structure of NbTlPtN2, as listed in Alexandria.

Cell lengths 4.019, 5.591, 4.019 Å; angles 90.00, 90.00, 90.00 degrees
Positions (direct):
Tl  0.500  0.500  0.500
Nb  0.000  0.000  0.000
Pt  0.000  0.500  0.000
N  0.000  0.000  0.500
N  0.500  0.000  0.000

Total magnetization ... 0.00 μB per cell
Formation energy (no corrections) ... 0.4168 eV per atom
E_tot ... -6.609 eV per atom

---

(4)
First-principles (GGA-PBE) data for a relaxed structure of Nb2VPtN, as listed in Alexandria.

Cell lengths 4.278, 4.278, 3.902 Å; angles 90.00, 90.00, 90.00 degrees
Positions (direct):
Nb  0.000  0.500  0.000
Nb  0.500  0.000  0.000
N  0.000  0.000  0.000
Pt  0.500  0.500  0.500
V  0.000  0.000  0.500

Total magnetization ... 0.00 μB per cell
Formation energy (no corrections) ... -0.7323 eV per atom
E_tot ... -9.457 eV per atom

---

(5)
First-principles (GGA-PBE) data for a relaxed structure of NbV2PtN, as listed in Alexandria.

Cell lengths 3.948, 3.948, 4.260 Å; angles 90.00, 90.00, 90.00 degrees
Positions (direct):
Nb  0.000  0.000  0.500
N  0.000  0.000  0.000
Pt  0.500  0.500  0.500
V  0.000  0.500  0.000
V  0.500  0.000  0.000

Total magnetization ... 0.00 μB per cell
Formation energy (no corrections) ... -0.7472 eV per atom
E_tot ... -9.282 eV per atom

---

(6)
First-principles (GGA-PBE) data for a relaxed structure of NbPtW2N, as listed in Alexandria.

Cell lengths 4.112, 4.112, 4.252 Å; angles 90.00, 90.00, 90.00 degrees
Positions (direct):
Nb  0.000  0.000  0.500
W  0.000  0.500  0.000
W  0.500  0.000  0.000
Pt  0.500  0.500  0.500
N  0.000  0.000  0.000

Total magnetization ... 0.00 μB per cell
Formation energy (no corrections) ... -0.3133 eV per atom
E_tot ... -10.382 eV per atom

---

(7)
First-principles (GGA-PBE) data for a relaxed structure of Nb2PtWN, as listed in Alexandria.

Cell lengths 4.264, 4.264, 4.082 Å; angles 90.00, 90.00, 90.00 degrees
Positions (direct):
Nb  0.000  0.500  0.000
Nb  0.500  0.000  0.000
W  0.000  0.000  0.500
Pt  0.500  0.500  0.500
N  0.000  0.000  0.000

Total magnetization ... 0.00 μB per cell
Formation energy (no corrections) ... -0.5122 eV per atom
E_tot ... -10.004 eV per atom

---

(8)
First-principles (GGA-PBE) data for a relaxed structure of ZrNb2PtN, as listed in Alexandria.

Cell lengths 4.207, 4.207, 4.528 Å; angles 90.00, 90.00, 90.00 degrees
Positions (direct):
Nb  0.000  0.500  0.000
Nb  0.500  0.000  0.000
Zr  0.000  0.000  0.500
Pt  0.500  0.500  0.500
N  0.000  0.000  0.000

Total magnetization ... 0.00 μB per cell
Formation energy (no corrections) ... -0.8389 eV per atom
E_tot ... -9.450 eV per atom

---

(9)
First-principles (GGA-PBE) data for a relaxed structure of Pu3Nb5N12, as listed in Alexandria.

Cell lengths 11.182, 11.182, 11.182 Å; angles 109.47, 109.47, 109.47 degrees
Positions (direct):
Pu  0.750  0.375  0.125
Pu  0.875  0.750  0.125
Pu  0.375  0.750  0.625
Pu  0.250  0.125  0.375
Pu  0.875  0.125  0.250
Pu  0.375  0.625  0.250
Pu  0.625  0.375  0.750
Pu  0.125  0.875  0.750
Pu  0.750  0.875  0.625
Pu  0.625  0.250  0.375
Pu  0.125  0.250  0.875
Pu  0.250  0.625  0.875
Nb  0.125  0.375  0.250
Nb  0.000  0.500  0.000
Nb  0.000  0.000  0.000
Nb  0.375  0.250  0.125
Nb  0.500  0.000  0.500
Nb  0.500  0.500  0.000
Nb  0.125  0.750  0.375
Nb  0.750  0.125  0.875
Nb  0.750  0.625  0.375
Nb  0.375  0.125  0.750
Nb  0.625  0.875  0.250
Nb  0.500  0.500  0.500
Nb  0.500  0.000  0.000
Nb  0.000  0.000  0.500
Nb  0.250  0.375  0.625
Nb  0.250  0.875  0.125
Nb  0.000  0.500  0.500
Nb  0.875  0.250  0.625
Nb  0.625  0.750  0.875
Nb  0.875  0.625  0.750
N  0.709  0.125  0.032
N  0.322  0.532  0.407
N  0.968  0.375  0.291
N  0.532  0.209  0.125
N  0.585  0.709  0.678
N  0.968  0.593  0.178
N  0.322  0.791  0.415
N  0.093  0.915  0.125
N  0.593  0.968  0.678
N  0.709  0.585  0.178
N  0.791  0.468  0.375
N  0.822  0.907  0.032
N  0.125  0.709  0.532
N  0.375  0.407  0.085
N  0.085  0.907  0.375
N  0.415  0.125  0.593
N  0.085  0.178  0.209
N  0.468  0.678  0.093
N  0.822  0.915  0.291
N  0.125  0.415  0.093
N  0.375  0.968  0.791
N  0.593  0.625  0.415
N  0.907  0.822  0.532
N  0.791  0.322  0.915
N  0.407  0.375  0.585
N  0.093  0.178  0.468
N  0.209  0.678  0.085
N  0.178  0.085  0.709
N  0.625  0.032  0.209
N  0.875  0.585  0.907
N  0.532  0.322  0.907
N  0.585  0.875  0.407
N  0.915  0.822  0.791
N  0.915  0.093  0.625
N  0.875  0.291  0.468
N  0.178  0.093  0.968
N  0.625  0.593  0.915
N  0.407  0.032  0.322
N  0.291  0.415  0.822
N  0.209  0.532  0.625
N  0.907  0.085  0.875
N  0.678  0.209  0.585
N  0.468  0.791  0.875
N  0.032  0.407  0.822
N  0.415  0.291  0.322
N  0.032  0.625  0.709
N  0.678  0.468  0.593
N  0.291  0.875  0.968

Total magnetization ... 52.00 μB per cell
Formation energy (no corrections) ... -0.9200 eV per atom
E_tot ... -10.582 eV per atom

---

(10)
First-principles (GGA-PBE) data for a relaxed structure of PuNbN2, as listed in Alexandria.

Cell lengths 3.206, 3.206, 6.041 Å; angles 74.61, 74.61, 60.00 degrees
Positions (direct):
Pu  0.495  0.495  0.515
Nb  0.670  0.670  0.991
N  0.074  0.074  0.779
N  0.262  0.262  0.215

Total magnetization ... 4.86 μB per cell
Formation energy (no corrections) ... -1.0439 eV per atom
E_tot ... -11.307 eV per atom

---

(11)
First-principles (GGA-PBE) data for a relaxed structure of Pu2NbN, as listed in Alexandria.

Cell lengths 3.180, 3.180, 9.075 Å; angles 79.91, 79.91, 60.00 degrees
Positions (direct):
Nb  0.000  0.000  0.000
N  0.500  0.500  0.500
Pu  0.110  0.110  0.669
Pu  0.890  0.890  0.331

Total magnetization ... 10.72 μB per cell
Formation energy (no corrections) ... -0.0783 eV per atom
E_tot ... -11.843 eV per atom

---

(12)
First-principles (GGA-PBE) data for a relaxed structure of Pu5NbN6, as listed in Alexandria.

Cell lengths 5.896, 5.898, 5.903 Å; angles 60.03, 80.45, 70.60 degrees
Positions (direct):
Nb  0.000  0.000  0.000
N  0.760  0.080  0.321
N  0.240  0.599  0.321
N  0.242  0.241  0.000
N  0.758  0.759  0.000
N  0.760  0.401  0.679
N  0.240  0.920  0.679
Pu  0.500  0.165  0.670
Pu  0.000  0.333  0.334
Pu  0.500  0.500  0.000
Pu  0.000  0.667  0.666
Pu  0.500  0.835  0.330

Total magnetization ... 22.17 μB per cell
Formation energy (no corrections) ... -1.2325 eV per atom
E_tot ... -12.206 eV per atom

---

(13)
First-principles (GGA-PBE) data for a relaxed structure of Pu3NbN4, as listed in Alexandria.

Cell lengths 5.850, 5.856, 6.739 Å; angles 90.00, 90.00, 109.39 degrees
Positions (direct):
Nb  0.750  0.000  0.879
Nb  0.250  0.000  0.121
N  0.986  0.235  0.631
N  0.500  0.230  0.886
N  0.486  0.235  0.369
N  0.000  0.230  0.114
N  0.000  0.770  0.886
N  0.514  0.765  0.631
N  0.500  0.770  0.114
N  0.014  0.765  0.369
Pu  0.750  0.000  0.372
Pu  0.250  0.000  0.628
Pu  0.750  0.500  0.630
Pu  0.750  0.500  0.121
Pu  0.250  0.500  0.370
Pu  0.250  0.500  0.879

Total magnetization ... 8.87 μB per cell
Formation energy (no corrections) ... -1.2084 eV per atom
E_tot ... -12.004 eV per atom

---

(14)
First-principles (GGA-PBE) data for a relaxed structure of PuNb2N, as listed in Alexandria.

Cell lengths 3.192, 3.192, 8.277 Å; angles 78.88, 78.88, 60.00 degrees
Positions (direct):
Nb  0.119  0.119  0.644
Nb  0.881  0.881  0.356
N  0.500  0.500  0.500
Pu  0.000  0.000  0.000

Total magnetization ... 6.28 μB per cell
Formation energy (no corrections) ... -0.1720 eV per atom
E_tot ... -10.871 eV per atom

---

(15)
First-principles (GGA-PBE) data for a relaxed structure of PuNb2N3, as listed in Alexandria.

Cell lengths 3.223, 4.545, 5.658 Å; angles 113.68, 106.55, 90.00 degrees
Positions (direct):
Pu  0.500  0.500  0.500
Nb  0.824  0.824  0.148
Nb  0.176  0.176  0.852
N  0.828  0.328  0.157
N  0.172  0.672  0.843
N  0.500  0.000  0.500

Total magnetization ... 4.07 μB per cell
Formation energy (no corrections) ... -1.1208 eV per atom
E_tot ... -11.029 eV per atom

---

(16)
First-principles (GGA-PBE) data for a relaxed structure of PuNbN4, as listed in Alexandria.

Cell lengths 5.033, 5.221, 5.766 Å; angles 90.00, 90.00, 90.00 degrees
Positions (direct):
Pu  0.000  0.500  0.157
Pu  0.500  0.500  0.657
Nb  0.000  0.000  0.803
Nb  0.500  0.000  0.303
N  0.218  0.816  0.115
N  0.230  0.307  0.905
N  0.270  0.307  0.405
N  0.282  0.816  0.615
N  0.730  0.693  0.405
N  0.718  0.184  0.615
N  0.782  0.184  0.115
N  0.770  0.693  0.905

Total magnetization ... 1.98 μB per cell
Formation energy (no corrections) ... -0.4108 eV per atom
E_tot ... -10.028 eV per atom

---

(17)
First-principles (GGA-PBE) data for a relaxed structure of Pu2Nb2N5, as listed in Alexandria.

Cell lengths 3.853, 6.171, 6.695 Å; angles 124.79, 90.00, 108.19 degrees
Positions (direct):
Pu  0.385  0.771  0.725
Pu  0.615  0.229  0.275
Nb  0.131  0.262  0.810
Nb  0.869  0.738  0.190
N  0.362  0.724  0.069
N  0.638  0.276  0.931
N  0.126  0.251  0.507
N  0.874  0.749  0.493
N  0.000  0.000  0.000

Total magnetization ... 9.19 μB per cell
Formation energy (no corrections) ... -1.0087 eV per atom
E_tot ... -11.056 eV per atom

---

(18)
First-principles (GGA-PBE) data for a relaxed structure of Pu2NbReN6, as listed in Alexandria.

Cell lengths 5.417, 5.757, 7.825 Å; angles 90.00, 89.92, 90.00 degrees
Positions (direct):
Pu  0.014  0.931  0.253
Pu  0.514  0.569  0.753
Pu  0.986  0.069  0.747
Pu  0.486  0.431  0.247
Nb  0.500  0.000  0.000
Nb  0.000  0.500  0.500
Re  0.500  0.000  0.500
Re  0.000  0.500  0.000
N  0.308  0.690  0.052
N  0.808  0.810  0.552
N  0.692  0.310  0.948
N  0.192  0.190  0.448
N  0.318  0.702  0.443
N  0.818  0.798  0.943
N  0.682  0.298  0.557
N  0.182  0.202  0.057
N  0.894  0.537  0.245
N  0.394  0.963  0.745
N  0.106  0.463  0.755
N  0.606  0.037  0.255

Total magnetization ... 17.67 μB per cell
Formation energy (no corrections) ... -0.7614 eV per atom
E_tot ... -10.875 eV per atom

---

(19)
First-principles (GGA-PBE) data for a relaxed structure of Pu3Sc2NbN6, as listed in Alexandria.

Cell lengths 5.749, 5.749, 5.744 Å; angles 99.60, 99.60, 119.98 degrees
Positions (direct):
Pu  0.167  0.833  0.500
Pu  0.833  0.167  0.500
Pu  0.500  0.500  0.500
Sc  0.333  0.667  0.000
Sc  0.667  0.333  0.000
Nb  0.000  0.000  0.000
N  0.922  0.594  0.767
N  0.750  0.750  0.234
N  0.078  0.406  0.233
N  0.594  0.922  0.767
N  0.250  0.250  0.766
N  0.406  0.078  0.233

Total magnetization ... 13.61 μB per cell
Formation energy (no corrections) ... -1.4330 eV per atom
E_tot ... -11.073 eV per atom

---

(20)
First-principles (GGA-PBE) data for a relaxed structure of PuScNbN3, as listed in Alexandria.

Cell lengths 3.222, 6.667, 8.136 Å; angles 95.08, 90.00, 90.00 degrees
Positions (direct):
Pu  0.250  0.152  0.180
Pu  0.750  0.848  0.820
Sc  0.250  0.637  0.124
Sc  0.750  0.363  0.876
Nb  0.250  0.145  0.585
Nb  0.750  0.855  0.415
N  0.750  0.870  0.140
N  0.250  0.130  0.860
N  0.250  0.825  0.577
N  0.750  0.175  0.423
N  0.750  0.403  0.135
N  0.250  0.597  0.865

Total magnetization ... 8.56 μB per cell
Formation energy (no corrections) ... -1.0759 eV per atom
E_tot ... -10.361 eV per atom